No. 1
Here is a geometry-optimized Tb4Dy2ThSc structure from Alexandria via LeMat-Bulk. Energies are from PBE.

Lattice parameters (Å, degrees): 5.8744 5.8744 7.2099 90.00 90.00 90.00
Last column: nearest neighbours and their distance in Å.
Atoms (fractional coordinates):
1 Tb 0.0000 0.5000 0.2455  2 Th 3.43, 2 Sc 3.43, 4 Dy 3.46, 2 Tb 3.54-3.67
2 Tb 0.0000 0.5000 0.7545  2 Th 3.43, 2 Sc 3.43, 4 Dy 3.46, 2 Tb 3.54-3.67
3 Tb 0.5000 0.0000 0.2455  2 Th 3.43, 2 Sc 3.43, 4 Dy 3.46, 2 Tb 3.54-3.67
4 Tb 0.5000 0.0000 0.7545  2 Th 3.43, 2 Sc 3.43, 4 Dy 3.46, 2 Tb 3.54-3.67
5 Dy 0.0000 0.0000 0.5000  8 Tb 3.46, 2 Th 3.60
6 Dy 0.5000 0.5000 0.5000  8 Tb 3.46, 2 Sc 3.60
7 Th 0.0000 0.0000 0.0000  8 Tb 3.43, 2 Dy 3.60
8 Sc 0.5000 0.5000 0.0000  8 Tb 3.43, 2 Dy 3.60

Computed properties:
- Energy: -40.29 eV per cell


No. 2
Here is a geometry-optimized Tb6Dy3Th2Sc structure from Alexandria via LeMat-Bulk. Energies are from PBE.

Lattice parameters (Å, degrees): 6.1121 6.1121 11.7586 94.99 94.99 119.99
Last column: nearest neighbours and their distance in Å.
Atoms (fractional coordinates):
1 Tb 0.0818 0.4143 0.2464  1 Sc 3.50, 2 Th 3.51, 6 Tb 3.52-3.53, 3 Dy 3.57-3.58
2 Tb 0.2514 0.2514 0.7531  2 Th 3.51, 1 Sc 3.51, 6 Tb 3.52-3.53, 3 Dy 3.57
3 Tb 0.4143 0.0818 0.2464  1 Sc 3.50, 2 Th 3.51, 6 Tb 3.52-3.53, 3 Dy 3.57-3.58
4 Tb 0.5857 0.9182 0.7536  1 Sc 3.50, 2 Th 3.51, 6 Tb 3.52-3.53, 3 Dy 3.57-3.58
5 Tb 0.7486 0.7486 0.2469  2 Th 3.51, 1 Sc 3.51, 6 Tb 3.52-3.53, 3 Dy 3.57
6 Tb 0.9182 0.5857 0.7536  1 Sc 3.50, 2 Th 3.51, 6 Tb 3.52-3.53, 3 Dy 3.57-3.58
7 Dy 0.1665 0.8335 0.5000  6 Dy 3.53, 6 Tb 3.57-3.58
8 Dy 0.5000 0.5000 0.5000  6 Dy 3.53, 6 Tb 3.57
9 Dy 0.8335 0.1665 0.5000  6 Dy 3.53, 6 Tb 3.57-3.58
10 Th 0.3337 0.6663 0.0000  6 Tb 3.51, 3 Th 3.52-3.53, 3 Sc 3.53
11 Th 0.6663 0.3337 0.0000  6 Tb 3.51, 3 Th 3.52-3.53, 3 Sc 3.53
12 Sc 0.0000 0.0000 0.0000  6 Tb 3.50-3.51, 6 Th 3.53

Computed properties:
- Energy: -62.41 eV per cell


No. 3
Here is a geometry-optimized TbDyTh2Sc5 structure from Alexandria via LeMat-Bulk. Energies are from PBE.

Lattice parameters (Å, degrees): 9.3538 9.3538 9.3538 126.26 126.26 79.47
Last column: nearest neighbours and their distance in Å.
Atoms (fractional coordinates):
1 Tb 0.2500 0.2500 0.0000  10 Sc 3.42-3.60
2 Tb 0.7500 0.7500 0.0000  10 Sc 3.42-3.60
3 Dy 0.2500 0.7500 0.5000  4 Sc 2.96
4 Dy 0.7500 0.2500 0.5000  4 Sc 2.96
5 Th 0.1236 0.6236 0.7472  2 Sc 2.84, 1 Th 2.96
6 Th 0.3764 0.1236 0.5000  2 Sc 2.84, 1 Th 2.96
7 Th 0.6236 0.8764 0.5000  2 Sc 2.84, 1 Th 2.96
8 Th 0.8764 0.3764 0.2528  2 Sc 2.84, 1 Th 2.96
9 Sc 0.0000 0.0000 0.0000  4 Th 3.35, 2 Tb 3.60, 8 Sc 3.63
10 Sc 0.0694 0.1516 0.5000  1 Th 2.84, 1 Dy 2.96
11 Sc 0.1516 0.6516 0.0822  1 Th 2.84, 1 Dy 2.96
12 Sc 0.3484 0.4306 0.5000  1 Th 2.84, 1 Dy 2.96
13 Sc 0.4306 0.9306 0.0822  1 Th 2.84, 1 Dy 2.96
14 Sc 0.5000 0.5000 0.0000  4 Th 3.35, 2 Tb 3.60, 8 Sc 3.63
15 Sc 0.5694 0.0694 0.9178  1 Th 2.84, 1 Dy 2.96
16 Sc 0.6516 0.5694 0.5000  1 Th 2.84, 1 Dy 2.96
17 Sc 0.8484 0.3484 0.9178  1 Th 2.84, 1 Dy 2.96
18 Sc 0.9306 0.8484 0.5000  1 Th 2.84, 1 Dy 2.96

Computed properties:
- Energy: -105.23 eV per cell


No. 4
Here is a geometry-optimized TbDyScTi structure from Alexandria via LeMat-Bulk. Energies are from PBE.

Lattice parameters (Å, degrees): 5.2789 5.2789 5.2789 60.00 60.00 60.00
Last column: nearest neighbours and their distance in Å.
Atoms (fractional coordinates):
1 Tb 0.0000 0.0000 0.0000  4 Sc 3.23, 4 Ti 3.23
2 Dy 0.5000 0.5000 0.5000  4 Sc 3.23, 4 Ti 3.23
3 Sc 0.7500 0.7500 0.7500  4 Tb 3.23, 4 Dy 3.23
4 Ti 0.2500 0.2500 0.2500  4 Tb 3.23, 4 Dy 3.23

Computed properties:
- Energy: -22.59 eV per cell


No. 5
Here is a geometry-optimized TbDy2ScTl4 structure from Alexandria via LeMat-Bulk. Energies are from PBE.

Lattice parameters (Å, degrees): 9.2238 9.2238 9.2238 33.42 33.42 33.42
Last column: nearest neighbours and their distance in Å.
Atoms (fractional coordinates):
1 Tb 0.0000 0.0000 0.0000  8 Tl 3.27-3.30
2 Dy 0.2486 0.2486 0.2486  8 Tl 3.19-3.35
3 Dy 0.7514 0.7514 0.7514  8 Tl 3.19-3.35
4 Sc 0.5000 0.5000 0.5000  8 Tl 3.22-3.24
5 Tl 0.1265 0.1265 0.1265  4 Dy 3.19-3.25, 3 Sc 3.24, 1 Tb 3.30
6 Tl 0.3768 0.3768 0.3768  1 Sc 3.22, 4 Dy 3.25-3.35, 3 Tb 3.27
7 Tl 0.6232 0.6232 0.6232  1 Sc 3.22, 4 Dy 3.25-3.35, 3 Tb 3.27
8 Tl 0.8735 0.8735 0.8735  4 Dy 3.19-3.25, 3 Sc 3.24, 1 Tb 3.30

Computed properties:
- Energy: -32.14 eV per cell


No. 6
Here is a geometry-optimized Tb2DyScTl4 structure from Alexandria via LeMat-Bulk. Energies are from PBE.

Lattice parameters (Å, degrees): 9.2278 9.2278 9.2278 33.43 33.43 33.43
Last column: nearest neighbours and their distance in Å.
Atoms (fractional coordinates):
1 Tb 0.2486 0.2486 0.2486  8 Tl 3.19-3.34
2 Tb 0.7514 0.7514 0.7514  8 Tl 3.19-3.34
3 Dy 0.0000 0.0000 0.0000  8 Tl 3.27-3.30
4 Sc 0.5000 0.5000 0.5000  8 Tl 3.22-3.24
5 Tl 0.1263 0.1263 0.1263  4 Tb 3.19-3.25, 3 Sc 3.24, 1 Dy 3.30
6 Tl 0.3765 0.3765 0.3765  1 Sc 3.22, 4 Tb 3.25-3.34, 3 Dy 3.27
7 Tl 0.6235 0.6235 0.6235  1 Sc 3.22, 4 Tb 3.25-3.34, 3 Dy 3.27
8 Tl 0.8737 0.8737 0.8737  4 Tb 3.19-3.25, 3 Sc 3.24, 1 Dy 3.30

Computed properties:
- Energy: -32.20 eV per cell


Table of size of the total moment (μB per atom), in record order: 0.00; 0.00; 0.00; 0.58; 0.00; 0.00